# BaAg3Br

BaAg3Br after structural relaxation (PBE, Alexandria).

Formation energy without anion corrections ... 0.2859 eV per atom
Distance to the lowest polymorph of the same formula ... 0.000 eV per atom
Crystal system ... cubic
Raw total energy ... -2.144 eV/atom
Spin magnetization ... 0.00 Bohr magnetons per cell

Cell and atoms, written as CIF:
```
data_BaAg3Br
_chemical_formula_sum 'Ba1 Ag3 Br1'
_space_group_name_H-M_alt 'P 1'
_space_group_IT_number 1
_space_group_name_Hall 'P 1'
_cell_length_a 5.459
_cell_length_b 5.459
_cell_length_c 5.459
_cell_angle_alpha 90.00
_cell_angle_beta 90.00
_cell_angle_gamma 90.00
loop_
_atom_site_label
_atom_site_type_symbol
_atom_site_fract_x
_atom_site_fract_y
_atom_site_fract_z
Ba1 Ba 0.500 0.500 0.500
Ag1 Ag 0.000 0.500 0.000
Ag2 Ag 0.000 0.000 0.500
Ag3 Ag 0.500 0.000 0.000
Br1 Br 0.000 0.000 0.000
```